A plane-wave DFT calculation with SCAN was carried out for a crystal of Li2TiCuO4 relaxed with PBEsol.

abc: 5.6477 6.0639 5.7228
angles: 118.16 90.00 117.75
Last column: nearest neighbours and their distance in Å.
Fractional positions:
1 Cu 0.0000 0.5000 0.0000  4 O 1.96
2 Cu 0.5000 0.5000 0.0000  4 O 1.96
3 O 0.7802 0.5604 0.2632  2 Cu 1.96, 1 Ti 2.00, 2 Li 2.10
4 O 0.2198 0.4396 0.7368  2 Cu 1.96, 1 Ti 2.00, 2 Li 2.10
5 O 0.2531 0.0333 0.2667  2 Ti 1.96, 3 Li 2.07-2.12
6 O 0.7802 0.5604 0.7972  2 Cu 1.96, 1 Ti 2.00, 2 Li 2.10
7 O 0.2198 0.9667 0.7333  2 Ti 1.96, 3 Li 2.07-2.12
8 O 0.2198 0.4396 0.2028  2 Cu 1.96, 1 Ti 2.00, 2 Li 2.10
9 O 0.7802 0.0333 0.2667  2 Ti 1.96, 3 Li 2.07-2.12
10 O 0.7469 0.9667 0.7333  2 Ti 1.96, 3 Li 2.07-2.12
11 Li 0.5000 0.0000 0.5000  4 O 2.07
12 Li 0.5000 0.5000 0.5000  6 O 2.10-2.12
13 Li 0.5000 0.0000 0.0000  4 O 2.07
14 Li 0.0000 0.5000 0.5000  6 O 2.10-2.12
15 Ti 0.0000 0.0000 0.0000  6 O 1.96-2.00
16 Ti 0.0000 0.0000 0.5000  6 O 1.96-2.00

- space group = Imma (74)
- offset from the most stable computed form (meV/atom) = 0
- uncorrected formation energy (eV/atom) = -2.297
- energy (eV per atom) = -9.914